# La2CrFe

A relaxed La2CrFe crystal (PBE-GGA, the Alexandria database).

Calculated values
formation energy from the elements	39	kJ/mol of atoms
Fermi-level density of states	6.2	states/eV per cell
SG	Pmmm
relative energy among the computed polymorphs	47.2	meV/atom

a b c (Å): 5.113 5.102 3.705
angles (deg): 90.00 90.00 90.00
Site moments in Bohr magnetons follow the coordinates.
Element x y z (fractional)
Cr: 0.500 0.000 0.500  3.34
Fe: 0.000 0.500 0.500  2.42
La: 0.000 0.000 0.000  -0.22
La: 0.500 0.500 0.000  -0.22

# CeSmY14

A relaxed CeSmY14 crystal (PBE-GGA, the Alexandria database).

Calculated values
formation energy from the elements	3	kJ/mol of atoms
Fermi-level density of states	25.0	states/eV per cell
SG	P4/mmm

a b c (Å): 7.162 7.162 10.113
angles (deg): 90.00 90.00 90.00
Site moments in Bohr magnetons follow the coordinates.
Element x y z (fractional)
Ce: 0.875 0.125 0.000  0.77
Sm: 0.375 0.625 0.000  -0.01
Y: 0.375 0.625 0.500  -0.04
Y: 0.875 0.125 0.500  -0.01
Y: 0.875 0.625 0.000  0.03
Y: 0.875 0.625 0.500  -0.02
Y: 0.375 0.125 0.000  0.03
Y: 0.375 0.125 0.500  -0.02
Y: 0.626 0.876 0.750  0.01
Y: 0.626 0.876 0.250  0.01
Y: 0.124 0.374 0.750  0.01
Y: 0.124 0.374 0.250  0.01
Y: 0.124 0.876 0.750  0.01
Y: 0.124 0.876 0.250  0.01
Y: 0.626 0.374 0.750  0.01
Y: 0.626 0.374 0.250  0.01

# MnCoCuRe

A relaxed MnCoCuRe crystal (PBE-GGA, the Alexandria database).

Calculated values
formation energy from the elements	20	kJ/mol of atoms
Fermi-level density of states	9.9	states/eV per cell
SG	Cm
relative energy among the computed polymorphs	50.7	meV/atom

a b c (Å): 4.483 2.616 9.440
angles (deg): 90.00 115.91 90.00
Site moments in Bohr magnetons follow the coordinates.
Element x y z (fractional)
Mn: 0.623 0.000 0.620  2.46
Mn: 0.623 0.500 0.120  2.46
Co: 0.238 0.000 0.884  0.10
Co: 0.238 0.500 0.384  0.10
Cu: 0.142 0.000 0.136  0.04
Cu: 0.142 0.500 0.636  0.04
Re: 0.738 0.000 0.378  -0.18
Re: 0.738 0.500 0.878  -0.18

# AcPuGaAu

A relaxed AcPuGaAu crystal (PBE-GGA, the Alexandria database).

Calculated values
formation energy from the elements	-39	kJ/mol of atoms
Fermi-level density of states	12.2	states/eV per cell
SG	F-43m

a b c (Å): 5.366 5.366 5.366
angles (deg): 60.00 60.00 60.00
Site moments in Bohr magnetons follow the coordinates.
Element x y z (fractional)
Ac: 0.000 0.000 0.000  0.04
Au: 0.750 0.750 0.750  0.01
Ga: 0.250 0.250 0.250  -0.02
Pu: 0.500 0.500 0.500  5.46

# KCa2Cu

A relaxed KCa2Cu crystal (PBE-GGA, the Alexandria database).

Calculated values
formation energy from the elements	15	kJ/mol of atoms
Fermi-level density of states	2.8	states/eV per cell
SG	Immm
relative energy among the computed polymorphs	111.7	meV/atom

a b c (Å): 7.212 7.212 7.212
angles (deg): 149.30 127.17 62.35
Element x y z (fractional)
Ca: 0.934 0.934 0.000
Ca: 0.566 0.566 0.000
Cu: 0.750 0.250 0.500
K: 0.250 0.750 0.500

# Hg4Sb

A relaxed Hg4Sb crystal (PBE-GGA, the Alexandria database).

Calculated values
raw formation energy	0.81	eV per formula unit
Fermi-level density of states	2.2	states/eV per cell
SG	Im-3m
relative energy among the computed polymorphs	66.5	meV/atom

a b c (Å): 6.055 6.055 6.055
angles (deg): 109.47 109.47 109.47
Element x y z (fractional)
Hg: 0.500 0.000 0.000
Hg: 0.500 0.500 0.500
Hg: 0.000 0.500 0.000
Hg: 0.000 0.000 0.500
Sb: 0.000 0.000 0.000

# Na4Sm2Cl9

A relaxed Na4Sm2Cl9 crystal (PBE-GGA, the Alexandria database).

Calculated values
raw formation energy	-29.80	eV per formula unit
SG	P-1

a b c (Å): 7.169 7.172 18.880
angles (deg): 90.07 90.08 60.04
Site moments in Bohr magnetons follow the coordinates.
Element x y z (fractional)
Na: 0.333 0.334 0.982  0.00
Na: 0.334 0.334 0.483  0.00
Na: 0.667 0.666 0.018  0.00
Na: 0.332 0.334 0.178  0.00
Na: 0.666 0.666 0.517  0.00
Na: 0.666 0.667 0.323  0.00
Na: 0.334 0.333 0.677  0.00
Na: 0.668 0.666 0.822  0.00
Sm: 0.999 0.002 0.343  0.29
Sm: 0.000 0.999 0.157  0.29
Sm: 0.001 0.998 0.657  0.29
Sm: 0.000 0.001 0.843  0.29
Cl: 0.002 0.309 0.750  0.01
Cl: 0.310 0.689 0.750  0.01
Cl: 0.690 0.001 0.750  0.01
Cl: 0.998 0.691 0.250  0.01
Cl: 0.690 0.311 0.250  0.01
Cl: 0.310 0.999 0.250  0.01
Cl: 0.679 0.975 0.413  0.00
Cl: 0.973 0.348 0.414  0.00
Cl: 0.346 0.681 0.413  0.00
Cl: 0.652 0.028 0.087  0.00
Cl: 0.320 0.651 0.087  0.00
Cl: 0.028 0.318 0.087  0.00
Cl: 0.321 0.025 0.587  0.00
Cl: 0.027 0.652 0.586  0.00
Cl: 0.654 0.319 0.587  0.00
Cl: 0.348 0.972 0.913  0.00
Cl: 0.680 0.349 0.913  0.00
Cl: 0.972 0.682 0.913  0.00

# BaYMn3

A relaxed BaYMn3 crystal (PBE-GGA, the Alexandria database).

Calculated values
formation energy from the elements	101	kJ/mol of atoms
Fermi-level density of states	6.2	states/eV per cell
SG	Pm-3m
relative energy among the computed polymorphs	0.0	meV/atom

a b c (Å): 5.366 5.366 5.366
angles (deg): 90.00 90.00 90.00
Site moments in Bohr magnetons follow the coordinates.
Element x y z (fractional)
Y: 0.000 0.000 0.000  -0.48
Mn: 0.000 0.500 0.000  3.84
Mn: 0.000 0.000 0.500  3.48
Mn: 0.500 0.000 0.000  4.02
Ba: 0.500 0.500 0.500  -0.06

| no. | density (g cm⁻³) | size of the total moment (μB per formula unit) |
| --- | --- | --- |
| 1 | 6.63 | 5.2 |
| 2 | 4.91 | 1.0 |
| 3 | 12.13 | 2.5 |
| 4 | 11.21 | 5.8 |
| 5 | 2.01 | 0.0 |
| 6 | 8.98 | 0.0 |
| 7 | 2.81 | 1.0 |
| 8 | 4.20 | 11.0 |